# 1
VASP calculation (PBE) on a relaxed structure of Y3SbSe6.

Summary:
Formation energy (no corrections) = -1.419 eV per atom
Crystal system = orthorhombic

Cell lengths 11.1072, 13.9951, 7.0890 Å; angles 90.00, 90.00, 90.00 degrees
Last column: nearest neighbours and their distance in Å.
Space group Cmc2_1 (No. 36)
One atom of each set of equivalent atoms:
Y 0.0000 0.0938 0.0000 [4 per cell]  7 Se 2.92-2.98
Y 0.1839 0.3997 0.1017 [8 per cell]  7 Se 2.86-3.18
Sb 0.0000 0.3218 0.6199 [4 per cell]  4 Se 2.67-2.96
Se 0.0000 0.2678 0.2403 [4 per cell]  1 Sb 2.80, 3 Y 2.92-2.97
Se 0.0000 0.4916 0.8695 [4 per cell]  4 Y 2.92-3.18, 2 Sb 2.96-3.16
Se 0.1658 0.0329 0.2965 [8 per cell]  4 Y 2.86-2.94
Se 0.1694 0.2326 0.8221 [8 per cell]  1 Sb 2.67, 2 Y 2.92-2.98

# 2
VASP calculation (PBE) on a relaxed structure of Rb2DyBiS4.

Summary:
Formation energy (no corrections) = -1.318 eV per atom
Density of states at the Fermi level = 0.00 states/eV/cell
Crystal system = monoclinic

Cell lengths 7.1956, 4.1326, 8.0439 Å; angles 90.00, 107.12, 90.00 degrees
Last column: nearest neighbours and their distance in Å.
Space group P2/m (No. 10)
One atom of each set of equivalent atoms:
Rb 0.0000 0.0000 0.0000 [1 per cell]  6 S 3.31-3.32
Rb 0.5000 0.5000 0.0000 [1 per cell]  6 S 3.38
Dy 0.0000 0.5000 0.5000 [1 per cell]  6 S 2.78-2.79
Bi 0.5000 0.0000 0.5000 [1 per cell]  6 S 2.86
S 0.2236 0.0000 0.6934 [2 per cell]  2 Dy 2.79, 1 Bi 2.86
S 0.2591 0.5000 0.3022 [2 per cell]  1 Dy 2.78, 2 Bi 2.86

# 3
VASP calculation (PBE) on a relaxed structure of LiMgTa.

Summary:
Density of states at the Fermi level = 3.55 states/eV/cell
Crystal system = orthorhombic
ΔH_f (0 K) = 0.1608 eV per atom
Energy relative to the lowest polymorph listed for this composition = 0.24 eV/f.u.

Cell lengths 3.9944, 9.6653, 3.0053 Å; angles 90.00, 90.00, 90.00 degrees
Last column: nearest neighbours and their distance in Å.
Space group Pmn2_1 (No. 31)
One atom of each set of equivalent atoms:
Li 0.0000 0.0856 0.0000 [2 per cell]  5 Mg 2.94-3.21, 6 Li 3.00-3.01
Mg 0.0000 0.7539 0.9959 [2 per cell]  5 Li 2.94-3.21, 2 Mg 3.01, 5 Ta 3.07-3.13
Ta 0.0000 0.4305 0.9970 [2 per cell]  6 Ta 2.84-3.01, 5 Mg 3.07-3.13

# 4
VASP calculation (PBE) on a relaxed structure of Sr2GaNi2.

Summary:
Density of states at the Fermi level = 7.07 states/eV/cell
Crystal system = tetragonal
ΔH_f (0 K) = -0.0225 eV per atom

Cell lengths 5.8278, 5.8278, 7.2048 Å; angles 90.00, 90.00, 90.00 degrees
Last column: nearest neighbours and their distance in Å.
Space group I4/mmm (No. 139)
One atom of each set of equivalent atoms:
Sr 0.0000 0.5000 0.2500 [4 per cell]  4 Ni 2.97
Ga 0.0000 0.0000 0.0000 [2 per cell]  2 Ni 2.40
Ni 0.0000 0.0000 0.3326 [4 per cell]  1 Ga 2.40, 1 Ni 2.41

What did the fourth record say?
VASP calculation (PBE) on a relaxed structure of Sr2GaNi2.

Summary:
Density of states at the Fermi level = 7.07 states/eV/cell
Crystal system = tetragonal
ΔH_f (0 K) = -0.0225 eV per atom

Cell lengths 5.8278, 5.8278, 7.2048 Å; angles 90.00, 90.00, 90.00 degrees
Last column: nearest neighbours and their distance in Å.
Space group I4/mmm (No. 139)
One atom of each set of equivalent atoms:
Sr 0.0000 0.5000 0.2500 [4 per cell]  4 Ni 2.97
Ga 0.0000 0.0000 0.0000 [2 per cell]  2 Ni 2.40
Ni 0.0000 0.0000 0.3326 [4 per cell]  1 Ga 2.40, 1 Ni 2.41